[1]
DFT (meta-GGA SCAN) results for a PBEsol-optimized structure of Ni2TeP.

The structure in CIF format:
```
data_Ni2TeP
_space_group_name_H-M_alt 'P 4/m m m'
_space_group_IT_number 123
_space_group_name_Hall '-P 4 2'
_cell_length_a 2.985
_cell_length_b 2.985
_cell_length_c 6.525
_cell_angle_alpha 90.00
_cell_angle_beta 90.00
_cell_angle_gamma 90.00
loop_
_atom_site_label
_atom_site_type_symbol
_atom_site_fract_x
_atom_site_fract_y
_atom_site_fract_z
_atom_site_occupancy
Ni1 Ni 0.000 0.000 0.188 1
Te1 Te 0.500 0.500 0.500 1
P1 P 0.500 0.500 0.000 1
```

Properties
Uncorrected formation energy = 0.201 eV per atom
Uncorrected energy = -19.798 eV/atom
Calculated density = 7.9 g/cm³


[2]
DFT (meta-GGA SCAN) results for a PBEsol-optimized structure of NiTe2P.

The structure in CIF format:
```
data_NiTe2P
_space_group_name_H-M_alt 'R -3 m'
_space_group_IT_number 166
_space_group_name_Hall '-R 3 2"'
_cell_length_a 3.7457
_cell_length_b 3.7457
_cell_length_c 23.4478
_cell_angle_alpha 90.00
_cell_angle_beta 90.00
_cell_angle_gamma 120.00
loop_
_atom_site_label
_atom_site_type_symbol
_atom_site_fract_x
_atom_site_fract_y
_atom_site_fract_z
_atom_site_occupancy
Ni1 Ni 0.0000 0.0000 0.0000 1
Te1 Te 0.0000 0.0000 0.3906 1
P1 P 0.0000 0.0000 0.5000 1
```

Properties
Uncorrected formation energy = 0.319 eV per atom
Uncorrected energy = -24.950 eV/atom
Calculated density = 6.0 g/cm³


[3]
DFT (meta-GGA SCAN) results for a PBEsol-optimized structure of NiTeP.

The structure in CIF format:
```
data_NiTeP
_space_group_name_H-M_alt 'F -4 3 m'
_space_group_IT_number 216
_space_group_name_Hall 'F -4 2 3'
_cell_length_a 6.000
_cell_length_b 6.000
_cell_length_c 6.000
_cell_angle_alpha 90.00
_cell_angle_beta 90.00
_cell_angle_gamma 90.00
loop_
_atom_site_label
_atom_site_type_symbol
_atom_site_fract_x
_atom_site_fract_y
_atom_site_fract_z
_atom_site_occupancy
Ni1 Ni 0.000 0.000 0.000 1
Te1 Te 0.250 0.250 0.250 1
P1 P 0.250 0.250 0.750 1
```

Properties
Uncorrected formation energy = 0.163 eV per atom
Energy above the most stable polymorph in this dataset = 0 meV per atom
Uncorrected energy = -21.111 eV/atom
Calculated density = 6.7 g/cm³


[4]
DFT (meta-GGA SCAN) results for a PBEsol-optimized structure of Ni2TeP2.

The structure in CIF format:
```
data_Ni2TeP2
_space_group_name_H-M_alt 'I 4/m m m'
_space_group_IT_number 139
_space_group_name_Hall '-I 4 2'
_cell_length_a 4.021
_cell_length_b 4.021
_cell_length_c 9.000
_cell_angle_alpha 90.00
_cell_angle_beta 90.00
_cell_angle_gamma 90.00
loop_
_atom_site_label
_atom_site_type_symbol
_atom_site_fract_x
_atom_site_fract_y
_atom_site_fract_z
_atom_site_occupancy
Ni1 Ni 0.000 0.500 0.250 1
Te1 Te 0.000 0.000 0.000 1
P1 P 0.000 0.000 0.373 1
```

Properties
Uncorrected formation energy = 0.034 eV per atom
Uncorrected energy = -18.045 eV/atom
Calculated density = 7.0 g/cm³


[5]
DFT (meta-GGA SCAN) results for a PBEsol-optimized structure of NiTeP2.

The structure in CIF format:
```
data_NiTeP2
_space_group_name_H-M_alt 'I 4/m m m'
_space_group_IT_number 139
_space_group_name_Hall '-I 4 2'
_cell_length_a 5.165
_cell_length_b 5.165
_cell_length_c 4.969
_cell_angle_alpha 90.00
_cell_angle_beta 90.00
_cell_angle_gamma 90.00
loop_
_atom_site_label
_atom_site_type_symbol
_atom_site_fract_x
_atom_site_fract_y
_atom_site_fract_z
_atom_site_occupancy
Ni1 Ni 0.000 0.000 0.000 1
Te1 Te 0.000 0.000 0.500 1
P1 P 0.000 0.500 0.000 1
```

Properties
Uncorrected formation energy = 0.247 eV per atom
Uncorrected energy = -18.309 eV/atom
Calculated density = 6.2 g/cm³


[6]
DFT (meta-GGA SCAN) results for a PBEsol-optimized structure of Tl3NiP.

The structure in CIF format:
```
data_Tl3NiP
_space_group_name_H-M_alt 'P m -3 m'
_space_group_IT_number 221
_space_group_name_Hall '-P 4 2 3'
_cell_length_a 4.957
_cell_length_b 4.957
_cell_length_c 4.957
_cell_angle_alpha 90.00
_cell_angle_beta 90.00
_cell_angle_gamma 90.00
loop_
_atom_site_label
_atom_site_type_symbol
_atom_site_fract_x
_atom_site_fract_y
_atom_site_fract_z
_atom_site_occupancy
Tl1 Tl 0.000 0.000 0.500 1
Ni1 Ni 0.000 0.000 0.000 1
P1 P 0.500 0.500 0.500 1
```

Properties
Uncorrected energy = -48.314 eV/atom
Formation energy from the elements = 416 meV/atom
Calculated density = 9.6 g/cm³


[7]
DFT (meta-GGA SCAN) results for a PBEsol-optimized structure of Tl2NiP.

The structure in CIF format:
```
data_Tl2NiP
_space_group_name_H-M_alt 'P 4/m m m'
_space_group_IT_number 123
_space_group_name_Hall '-P 4 2'
_cell_length_a 3.509
_cell_length_b 3.509
_cell_length_c 6.138
_cell_angle_alpha 90.00
_cell_angle_beta 90.00
_cell_angle_gamma 90.00
loop_
_atom_site_label
_atom_site_type_symbol
_atom_site_fract_x
_atom_site_fract_y
_atom_site_fract_z
_atom_site_occupancy
Tl1 Tl 0.000 0.000 0.242 1
Ni1 Ni 0.500 0.500 0.000 1
P1 P 0.500 0.500 0.500 1
```

Properties
Energy above the most stable polymorph in this dataset = 792 meV per atom
Uncorrected energy = -42.153 eV/atom
Formation energy from the elements = 669 meV/atom
Calculated density = 10.9 g/cm³


[8]
DFT (meta-GGA SCAN) results for a PBEsol-optimized structure of Tl2NiP.

The structure in CIF format:
```
data_Tl2NiP
_space_group_name_H-M_alt 'R 3 m'
_space_group_IT_number 160
_space_group_name_Hall 'R 3 -2"'
_cell_length_a 3.7744
_cell_length_b 3.7744
_cell_length_c 21.2528
_cell_angle_alpha 90.00
_cell_angle_beta 90.00
_cell_angle_gamma 120.00
loop_
_atom_site_label
_atom_site_type_symbol
_atom_site_fract_x
_atom_site_fract_y
_atom_site_fract_z
_atom_site_occupancy
Tl1 Tl 0.0000 0.0000 0.0000 1
Tl2 Tl 0.0000 0.0000 0.2005 1
Ni1 Ni 0.0000 0.0000 0.7664 1
P1 P 0.0000 0.0000 0.4336 1
```

Properties
Energy above the most stable polymorph in this dataset = 0 meV per atom
Uncorrected energy = -42.945 eV/atom
Formation energy from the elements = -123 meV/atom
Calculated density = 9.5 g/cm³


[9]
DFT (meta-GGA SCAN) results for a PBEsol-optimized structure of Tl2NiP.

The structure in CIF format:
```
data_Tl2NiP
_space_group_name_H-M_alt 'C 1 2/m 1'
_space_group_IT_number 12
_cell_length_a 5.949
_cell_length_b 6.997
_cell_length_c 3.850
_cell_angle_alpha 90.00
_cell_angle_beta 103.40
_cell_angle_gamma 90.00
loop_
_space_group_symop_operation_xyz
'x,y,z'
'-x,-y,-z'
'-x,y,-z'
'x,-y,z'
'x+1/2,y+1/2,z'
'-x+1/2,-y+1/2,-z'
'-x+1/2,y+1/2,-z'
'x+1/2,-y+1/2,z'
loop_
_atom_site_label
_atom_site_type_symbol
_atom_site_fract_x
_atom_site_fract_y
_atom_site_fract_z
_atom_site_occupancy
Tl1 Tl 0.250 0.250 0.000 1
Ni1 Ni 0.000 0.000 0.500 1
P1 P 0.000 0.500 0.500 1
```

Properties
Energy above the most stable polymorph in this dataset = 761 meV per atom
Uncorrected energy = -42.185 eV/atom
Formation energy from the elements = 637 meV/atom
Calculated density = 10.6 g/cm³


[10]
DFT (meta-GGA SCAN) results for a PBEsol-optimized structure of Tm2Ni12P7.

The structure in CIF format:
```
data_Tm2Ni12P7
_space_group_name_H-M_alt 'P -6'
_space_group_IT_number 174
_cell_length_a 8.9087
_cell_length_b 8.9087
_cell_length_c 3.6170
_cell_angle_alpha 90.00
_cell_angle_beta 90.00
_cell_angle_gamma 120.00
loop_
_space_group_symop_operation_xyz
'x,y,z'
'-x+y,-x,-z'
'-y,x-y,z'
'x,y,-z'
'-x+y,-x,z'
'-y,x-y,-z'
loop_
_atom_site_label
_atom_site_type_symbol
_atom_site_fract_x
_atom_site_fract_y
_atom_site_fract_z
_atom_site_occupancy
Tm1 Tm 0.0000 0.0000 0.0000 1
Tm2 Tm 0.3333 0.6667 0.5000 1
Ni1 Ni 0.0413 0.7691 0.5000 1
Ni2 Ni 0.0978 0.3834 0.0000 1
Ni3 Ni 0.4504 0.2384 0.0000 1
Ni4 Ni 0.5148 0.0577 0.5000 1
P1 P 0.0733 0.6285 0.0000 1
P2 P 0.2597 0.0408 0.5000 1
P3 P 0.6667 0.3333 0.5000 1
```

Properties
Uncorrected energy = -18.449 eV/atom
Formation energy from the elements = -804 meV/atom
Calculated density = 8.4 g/cm³


Among the records above, which one has the lowest uncorrected energy? Tl3NiP


Which of these has the highest uncorrected energy? Ni2TeP2


The highest calculated density belongs to which entry? number 7